Material: In2Ge2Au
Method: DFT, PBE
State: relaxed

Cell: 4.8785 4.8785 6.2133 Å, 66.88 66.88 90.00°
Positions (direct):
Ge (0.3843, 0.3843, 0.2314)
Ge (0.6157, 0.6157, 0.7686)
Au (0.0000, 0.0000, 0.0000)
In (0.7500, 0.2500, 0.5000)
In (0.2500, 0.7500, 0.5000)

energy above the lowest structure with this stoichiometry = 1.284 eV/f.u.
calculated formation energy = 322 meV per atom
E_tot = -0.241 Ry/atom
calculated volume = 123.0 Å³/f.u.